Entry from Alexandria via LeMat-Bulk: a relaxed BaTiAlF2 crystal (GGA-PBE).

Cell lengths 4.225, 7.837, 4.225 Å; angles 90.00, 90.00, 90.00 degrees
Site moments in Bohr magnetons follow the coordinates.
Fractional coordinates of all 5 atoms:
1 Ti 0.000 0.000 0.000  1.54
2 Al 0.500 0.500 0.500  -0.04
3 F 0.500 0.000 0.000  -0.03
4 Ba 0.000 0.500 0.000  -0.05
5 F 0.000 0.000 0.500  -0.02

spin magnetization = 0.2861 μB/atom
uncorrected formation energy = -1.024 eV/atom
symmetry = P4/mmm (123)

***

Entry from Alexandria via LeMat-Bulk: a relaxed BaAsI2N crystal (GGA-PBE).

Cell lengths 6.682, 6.682, 4.431 Å; angles 90.00, 90.00, 90.00 degrees
Fractional coordinates of all 5 atoms:
1 Ba 0.000 0.000 0.000
2 N 0.000 0.000 0.500
3 I 0.000 0.500 0.000
4 As 0.500 0.500 0.500
5 I 0.500 0.000 0.000

spin magnetization = 0.0001 μB/atom
uncorrected formation energy = 0.852 eV/atom
distance to the lowest polymorph of the same formula = 1048 meV/atom
symmetry = P4/mmm (123)

***

Entry from Alexandria via LeMat-Bulk: a relaxed NaLiTlRh crystal (GGA-PBE).

Cell lengths 4.694, 4.694, 4.694 Å; angles 60.00, 60.00, 60.00 degrees
Fractional coordinates of all 4 atoms:
1 Li 0.750 0.750 0.750
2 Tl 0.000 0.000 0.000
3 Rh 0.250 0.250 0.250
4 Na 0.500 0.500 0.500

spin magnetization = 0.0000 μB/atom
calculated formation energy = -50.1 meV per atom
symmetry = F-43m (216)

***

Entry from Alexandria via LeMat-Bulk: a relaxed K2PuCl6 crystal (GGA-PBE).

Cell lengths 6.962, 6.962, 13.568 Å; angles 90.00, 90.00, 90.00 degrees
Site moments in Bohr magnetons follow the coordinates.
Fractional coordinates of all 18 atoms:
1 Cl 0.765 0.235 0.500  -0.06
2 Cl 0.818 0.182 0.860  -0.05
3 Cl 0.182 0.818 0.860  -0.05
4 K 0.500 0.500 0.166  0.00
5 Cl 0.182 0.818 0.140  -0.05
6 Cl 0.818 0.182 0.140  -0.05
7 Cl 0.318 0.318 0.360  -0.05
8 Pu 0.000 0.000 0.000  4.34
9 Cl 0.735 0.735 0.000  -0.06
10 Cl 0.318 0.318 0.640  -0.05
11 K 0.000 0.000 0.334  0.00
12 Pu 0.500 0.500 0.500  4.34
13 K 0.000 0.000 0.666  0.00
14 Cl 0.235 0.765 0.500  -0.06
15 K 0.500 0.500 0.834  0.00
16 Cl 0.682 0.682 0.640  -0.05
17 Cl 0.682 0.682 0.360  -0.05
18 Cl 0.265 0.265 0.000  -0.06

spin magnetization = 0.4444 μB/atom
uncorrected formation energy = -1.848 eV/atom
symmetry = P4_2/mnm (136)

***

Entry from Alexandria via LeMat-Bulk: a relaxed TbNdHg crystal (GGA-PBE).

Cell lengths 3.704, 3.704, 6.953 Å; angles 105.45, 105.45, 90.00 degrees
Site moments in Bohr magnetons follow the coordinates.
Fractional coordinates of all 3 atoms:
1 Hg 0.674 0.674 0.348  -0.01
2 Tb 0.317 0.317 0.633  0.18
3 Nd 0.009 0.009 0.019  0.12

spin magnetization = 0.1717 μB/atom
calculated formation energy = -305.0 meV per atom
distance to the lowest polymorph of the same formula = 33 meV/atom
symmetry = I4mm (107)

***

Entry from Alexandria via LeMat-Bulk: a relaxed LaMg2Sb crystal (GGA-PBE).

Cell lengths 6.707, 6.707, 3.361 Å; angles 76.21, 76.21, 121.89 degrees
Site moments in Bohr magnetons follow the coordinates.
Fractional coordinates of all 4 atoms:
1 La 0.000 0.500 0.500  0.12
2 Sb 0.500 0.000 0.500  0.00
3 Mg 0.500 0.500 0.000  0.00
4 Mg 0.000 0.000 0.000  0.00

spin magnetization = 0.0532 μB/atom
uncorrected formation energy = -0.305 eV/atom
symmetry = C2/m (12)

***

Entry from Alexandria via LeMat-Bulk: a relaxed KMn2Te crystal (GGA-PBE).

Cell lengths 5.236, 5.236, 5.236 Å; angles 60.00, 60.00, 60.00 degrees
Site moments in Bohr magnetons follow the coordinates.
Fractional coordinates of all 4 atoms:
1 K 0.500 0.500 0.500  0.01
2 Te 0.750 0.750 0.750  0.07
3 Mn 0.250 0.250 0.250  4.13
4 Mn 0.000 0.000 0.000  4.01

spin magnetization = 2.2313 μB/atom
uncorrected formation energy = 0.675 eV/atom
symmetry = F-43m (216)

***

Entry from Alexandria via LeMat-Bulk: a relaxed Sr3Ag8Pb crystal (GGA-PBE).

Cell lengths 5.822, 5.822, 10.334 Å; angles 73.64, 73.64, 60.00 degrees
Fractional coordinates of all 12 atoms:
1 Sr 0.992 0.992 0.024
2 Sr 0.506 0.506 0.481
3 Ag 0.942 0.437 0.185
4 Ag 0.938 0.938 0.688
5 Ag 0.437 0.437 0.185
6 Pb 0.871 0.871 0.387
7 Ag 0.437 0.942 0.185
8 Ag 0.188 0.188 0.436
9 Sr 0.378 0.378 0.867
10 Ag 0.938 0.436 0.688
11 Ag 0.688 0.688 0.937
12 Ag 0.436 0.938 0.688

spin magnetization = 0.0000 μB/atom
calculated formation energy = -205.4 meV per atom
symmetry = R3m (160)

***

Entry from Alexandria via LeMat-Bulk: a relaxed CrS8 crystal (GGA-PBE).

Cell lengths 8.396, 6.632, 6.632 Å; angles 66.38, 50.73, 50.73 degrees
Site moments in Bohr magnetons follow the coordinates.
Fractional coordinates of all 9 atoms:
1 S 0.299 0.701 0.701  -0.09
2 S 0.701 0.299 0.299  -0.09
3 S 0.347 0.000 0.306  0.06
4 Cr 0.000 0.000 0.000  1.72
5 S 0.653 0.694 0.000  0.06
6 S 0.000 0.299 0.701  -0.09
7 S 0.000 0.701 0.299  -0.09
8 S 0.347 0.306 0.000  0.06
9 S 0.653 0.000 0.694  0.06

spin magnetization = 0.2031 μB/atom
uncorrected formation energy = 0.386 eV/atom
symmetry = I4/mmm (139)

***

Entry from Alexandria via LeMat-Bulk: a relaxed CsTmTc2O8 crystal (GGA-PBE).

Cell lengths 5.989, 5.989, 8.420 Å; angles 90.00, 90.00, 120.00 degrees
Site moments in Bohr magnetons follow the coordinates.
Fractional coordinates of all 12 atoms:
1 Tc 0.333 0.667 0.729  0.65
2 O 0.829 0.169 0.342  0.04
3 O 0.171 0.831 0.658  0.04
4 O 0.169 0.340 0.658  0.04
5 O 0.333 0.667 0.937  0.08
6 Tm 0.000 0.000 0.500  0.09
7 O 0.667 0.333 0.063  0.08
8 Tc 0.667 0.333 0.271  0.65
9 Cs 0.000 0.000 0.000  0.00
10 O 0.340 0.171 0.342  0.04
11 O 0.660 0.829 0.658  0.04
12 O 0.831 0.660 0.342  0.04

spin magnetization = 0.1696 μB/atom
uncorrected formation energy = -1.960 eV/atom
symmetry = P-3 (147)

***

Entry from Alexandria via LeMat-Bulk: a relaxed PuZr3Pa3 crystal (GGA-PBE).

Cell lengths 7.239, 7.239, 7.239 Å; angles 72.93, 72.93, 72.93 degrees
Site moments in Bohr magnetons follow the coordinates.
Fractional coordinates of all 14 atoms:
1 Zr 0.968 0.686 0.093  -0.07
2 Pu 0.741 0.741 0.741  4.94
3 Pa 0.608 0.472 0.173  -0.18
4 Zr 0.907 0.032 0.314  -0.07
5 Zr 0.032 0.314 0.907  -0.07
6 Zr 0.314 0.907 0.032  -0.07
7 Pa 0.392 0.528 0.827  -0.18
8 Pa 0.827 0.392 0.528  -0.18
9 Zr 0.093 0.968 0.686  -0.07
10 Zr 0.686 0.093 0.968  -0.07
11 Pa 0.173 0.608 0.472  -0.18
12 Pa 0.472 0.173 0.608  -0.18
13 Pu 0.259 0.259 0.259  4.94
14 Pa 0.528 0.827 0.392  -0.18

spin magnetization = 0.5913 μB/atom
calculated formation energy = 86.9 meV per atom
symmetry = R-3 (148)

***

Entry from Alexandria via LeMat-Bulk: a relaxed Ac2Pm7Y2 crystal (GGA-PBE).

Cell lengths 3.712, 11.032, 11.032 Å; angles 65.50, 80.31, 80.31 degrees
Fractional coordinates of all 11 atoms:
1 Ac 0.500 0.346 0.654
2 Pm 0.175 0.192 0.458
3 Pm 0.839 0.029 0.293
4 Pm 0.500 0.913 0.087
5 Pm 0.701 0.420 0.177
6 Pm 0.299 0.823 0.580
7 Y 0.630 0.991 0.749
8 Pm 0.161 0.707 0.971
9 Pm 0.825 0.542 0.808
10 Y 0.370 0.251 0.009
11 Ac 0.000 0.639 0.361

spin magnetization = 0.0000 μB/atom
calculated formation energy = 113.6 meV per atom
distance to the lowest polymorph of the same formula = 0 meV/atom
symmetry = Imm2 (44)

***

Taking the records one at a time from the top gives raw total energy values of -4.484, -2.748, -3.288, -4.916, -3.538, -3.364, -4.970, -2.836, -4.353, -7.437, -9.694, -4.832 eV per atom.